Crystalline HfOsF2 at its relaxed geometry, computed with GGA-PBEsol.

a b c (Å): 4.2131 4.2131 4.2131
angles (deg): 60.00 60.00 60.00
Closest atoms and distances in Å follow each position.
Atoms (fractional coordinates):
Hf 0.0000 0.0000 0.0000  8 F 2.58
Os 0.5000 0.5000 0.5000  8 F 2.58
F 0.2500 0.2500 0.2500  4 Hf 2.58, 4 Os 2.58
F 0.7500 0.7500 0.7500  4 Hf 2.58, 4 Os 2.58

Calculated values
**E_tot**: -6.8957 eV/atom
**ΔE_f (raw)**: -0.25 eV/atom

=====

Crystalline Li2Bi5B3O13 at its relaxed geometry, computed with GGA-PBEsol.

a b c (Å): 10.8798 3.6545 15.9298
angles (deg): 90.00 102.88 90.00
Closest atoms and distances in Å follow each position.
Atoms (fractional coordinates):
Li 0.1290 0.2500 0.0676  4 O 1.93-2.16
Li 0.3271 0.7500 0.2913  4 O 1.90-2.11
Li 0.6729 0.2500 0.7087  4 O 1.90-2.11
Li 0.8710 0.7500 0.9324  4 O 1.93-2.16
Bi 0.0341 0.2500 0.2903  6 O 2.31-2.51
Bi 0.1313 0.2500 0.5658  6 O 2.30-2.50
Bi 0.3142 0.2500 0.8045  6 O 2.25-2.50
Bi 0.3580 0.7500 0.0170  7 O 2.28-2.54
Bi 0.4503 0.7500 0.6043  6 O 2.29-2.55
Bi 0.5497 0.2500 0.3957  6 O 2.29-2.55
Bi 0.6420 0.2500 0.9830  7 O 2.28-2.54
Bi 0.6858 0.7500 0.1955  6 O 2.25-2.50
Bi 0.8687 0.7500 0.4342  6 O 2.30-2.50
Bi 0.9659 0.7500 0.7097  6 O 2.31-2.51
B 0.1096 0.7500 0.9072  3 O 1.35-1.43
B 0.2738 0.7500 0.4244  3 O 1.38-1.39
B 0.4181 0.2500 0.1920  3 O 1.37-1.40
B 0.5819 0.7500 0.8080  3 O 1.37-1.40
B 0.7262 0.2500 0.5756  3 O 1.38-1.39
B 0.8904 0.2500 0.0928  3 O 1.35-1.43
O 0.0039 0.7500 0.5702  4 Bi 2.30-2.35
O 0.0097 0.2500 0.1412  1 B 1.35
O 0.0966 0.2500 0.7115  4 Bi 2.31-2.50
O 0.1376 0.7500 0.9964  1 B 1.39
O 0.1888 0.7500 0.3458  1 B 1.38
O 0.2174 0.7500 0.8693  1 B 1.43
O 0.2381 0.7500 0.5026  1 B 1.38
O 0.3213 0.2500 0.1199  1 B 1.37
O 0.3632 0.2500 0.6549  3 Bi 2.29-2.55
O 0.3889 0.2500 0.2724  1 B 1.39
O 0.4021 0.7500 0.4254  1 B 1.39
O 0.4085 0.2500 0.9456  4 Bi 2.25-2.48
O 0.4557 0.7500 0.8145  1 B 1.40
O 0.5443 0.2500 0.1855  1 B 1.40
O 0.5915 0.7500 0.0544  4 Bi 2.25-2.48
O 0.5979 0.2500 0.5746  1 B 1.39
O 0.6111 0.7500 0.7276  1 B 1.39
O 0.6368 0.7500 0.3451  3 Bi 2.29-2.55
O 0.6787 0.7500 0.8801  1 B 1.37
O 0.7619 0.2500 0.4974  1 B 1.38
O 0.7826 0.2500 0.1307  1 B 1.43
O 0.8112 0.2500 0.6542  1 B 1.38
O 0.8624 0.2500 0.0036  1 B 1.39
O 0.9034 0.7500 0.2885  4 Bi 2.31-2.50
O 0.9903 0.7500 0.8588  1 B 1.35
O 0.9961 0.2500 0.4298  4 Bi 2.30-2.35

Calculated values
**E_tot**: -6.7418 eV/atom
**ΔE_f (raw)**: -1.76 eV/atom

=====

Crystalline Y3Hg at its relaxed geometry, computed with GGA-PBEsol.

a b c (Å): 4.7264 4.7264 4.7264
angles (deg): 90.00 90.00 90.00
Closest atoms and distances in Å follow each position.
Atoms (fractional coordinates):
Y 0.0000 0.0000 0.5000  4 Hg 3.34, 8 Y 3.34
Y 0.0000 0.5000 0.0000  4 Hg 3.34, 8 Y 3.34
Y 0.5000 0.0000 0.0000  4 Hg 3.34, 8 Y 3.34
Hg 0.5000 0.5000 0.5000  12 Y 3.34

Calculated values
**E_tot**: -5.4853 eV/atom
**Formation energy from the elements**: -0.23 eV/atom

=====

Crystalline TiCr3F at its relaxed geometry, computed with GGA-PBEsol.

a b c (Å): 4.5174 4.5174 4.5174
angles (deg): 90.00 90.00 90.00
Closest atoms and distances in Å follow each position.
Atoms (fractional coordinates):
Ti 0.0000 0.0000 0.0000  6 Cr 2.26
Cr 0.0000 0.0000 0.5000  2 Ti 2.26
Cr 0.0000 0.5000 0.0000  2 Ti 2.26
Cr 0.5000 0.0000 0.0000  2 Ti 2.26
F 0.5000 0.5000 0.5000  12 Cr 3.19

Calculated values
**E_tot**: -6.6487 eV/atom
**ΔE_f (raw)**: 1.55 eV/atom

=====

Crystalline RbTl3 at its relaxed geometry, computed with GGA-PBEsol.

a b c (Å): 5.5907 5.5907 5.5907
angles (deg): 60.00 60.00 60.00
Closest atoms and distances in Å follow each position.
Atoms (fractional coordinates):
Rb 0.0000 0.0000 0.0000  8 Tl 3.42
Tl 0.2500 0.2500 0.2500  4 Tl 3.42, 4 Rb 3.42
Tl 0.5000 0.5000 0.5000  8 Tl 3.42
Tl 0.7500 0.7500 0.7500  4 Tl 3.42, 4 Rb 3.42

Calculated values
**E_tot**: -2.2380 eV/atom
**Formation energy from the elements**: -0.01 eV/atom

=====

Crystalline Te5Pt at its relaxed geometry, computed with GGA-PBEsol.

a b c (Å): 7.4867 7.4867 5.9968
angles (deg): 90.00 90.00 148.88
Closest atoms and distances in Å follow each position.
Atoms (fractional coordinates):
Te 0.0000 0.0000 0.0000  2 Pt 3.00, 4 Te 3.01
Te 0.3450 0.6550 0.0000  4 Te 3.01-3.04
Te 0.3787 0.6213 0.5000  2 Pt 2.66
Te 0.6213 0.3787 0.5000  2 Pt 2.66
Te 0.6550 0.3450 0.0000  4 Te 3.01-3.04
Pt 0.0000 0.0000 0.5000  4 Te 2.66

Calculated values
**E_tot**: -4.2375 eV/atom
**ΔE_f (raw)**: -0.14 eV/atom

=====

Crystalline MgSb2Te at its relaxed geometry, computed with GGA-PBEsol.

a b c (Å): 6.2078 6.2078 6.2078
angles (deg): 145.70 130.36 61.73
Closest atoms and distances in Å follow each position.
Atoms (fractional coordinates):
Mg 0.0000 0.0000 0.0000  2 Te 3.15, 6 Sb 3.18-3.33
Sb 0.2613 0.7613 0.5000  2 Sb 3.13, 4 Te 3.18, 2 Mg 3.33
Sb 0.4990 0.4990 0.0000  2 Sb 3.13, 4 Mg 3.18, 2 Te 3.32
Te 0.7592 0.2592 0.5000  2 Mg 3.15, 6 Sb 3.18-3.32

Calculated values
**E_tot**: -3.6089 eV/atom
**ΔE_f (raw)**: -0.02 eV/atom

=====

Crystalline Mo2AuI2 at its relaxed geometry, computed with GGA-PBEsol.

a b c (Å): 8.6602 8.6602 8.6602
angles (deg): 155.61 155.61 34.76
Closest atoms and distances in Å follow each position.
Atoms (fractional coordinates):
Mo 0.2500 0.7500 0.5000  4 Mo 2.59, 4 I 2.87
Mo 0.7500 0.2500 0.5000  4 Mo 2.59, 4 I 2.87
Au 0.0000 0.0000 0.0000  8 I 3.22
I 0.3842 0.3842 0.0000  4 Mo 2.87, 4 Au 3.22
I 0.6158 0.6158 0.0000  4 Mo 2.87, 4 Au 3.22

Calculated values
**E_tot**: -5.4653 eV/atom
**ΔE_f (raw)**: 0.73 eV/atom